1.
# Ba2OsRu | the Alexandria database | PBE | optimized geometry
data_Ba2OsRu
_chemical_formula_sum 'Ba6 Os3 Ru3'
_symmetry_space_group_name_H-M 'R -3 m'
_symmetry_Int_Tables_number 166
_symmetry_space_group_name_Hall '-R 3 2"'
_cell_length_a 3.5032
_cell_length_b 3.5032
_cell_length_c 29.1612
_cell_angle_alpha 90.00
_cell_angle_beta 90.00
_cell_angle_gamma 120.00
loop_
_atom_site_label
_atom_site_fract_x
_atom_site_fract_y
_atom_site_fract_z
Ba1 0.0000 0.0000 0.2504
Os1 0.0000 0.0000 0.5000
Ru1 0.0000 0.0000 0.0000
# size of the total moment: 3.4 μB per cell

=====

2.
# BaOsRu3 | the Alexandria database | PBE | optimized geometry
data_BaOsRu3
_chemical_formula_sum 'Ba1 Os1 Ru3'
_symmetry_space_group_name_H-M 'P m -3 m'
_symmetry_Int_Tables_number 221
_symmetry_space_group_name_Hall '-P 4 2 3'
_cell_length_a 4.8140
_cell_length_b 4.8140
_cell_length_c 4.8140
_cell_angle_alpha 90.00
_cell_angle_beta 90.00
_cell_angle_gamma 90.00
loop_
_atom_site_label
_atom_site_fract_x
_atom_site_fract_y
_atom_site_fract_z
Ba1 0.0000 0.0000 0.0000
Os1 0.5000 0.5000 0.5000
Ru1 0.0000 0.5000 0.5000
# size of the total moment: 0.0 μB per cell

=====

3.
# BaOsRu2 | the Alexandria database | PBE | optimized geometry
data_BaOsRu2
_chemical_formula_sum 'Ba4 Os4 Ru8'
_symmetry_space_group_name_H-M 'I -4 2 d'
_symmetry_Int_Tables_number 122
_symmetry_space_group_name_Hall 'I -4 2bw'
_cell_length_a 7.5546
_cell_length_b 7.5546
_cell_length_c 6.5526
_cell_angle_alpha 90.00
_cell_angle_beta 90.00
_cell_angle_gamma 90.00
loop_
_atom_site_label
_atom_site_fract_x
_atom_site_fract_y
_atom_site_fract_z
Ba1 0.0000 0.0000 0.0000
Os1 0.0000 0.0000 0.5000
Ru1 0.1632 0.2500 0.6250
# size of the total moment: 0.0 μB per cell

=====

4.
# BaOsRu2 | the Alexandria database | PBE | optimized geometry
data_BaOsRu2
_chemical_formula_sum 'Ba3 Os3 Ru6'
_symmetry_space_group_name_H-M 'R 3 m'
_symmetry_Int_Tables_number 160
_symmetry_space_group_name_Hall 'R 3 -2"'
_cell_length_a 4.3815
_cell_length_b 4.3815
_cell_length_c 17.5916
_cell_angle_alpha 90.00
_cell_angle_beta 90.00
_cell_angle_gamma 120.00
loop_
_atom_site_label
_atom_site_fract_x
_atom_site_fract_y
_atom_site_fract_z
Ba1 0.0000 0.0000 0.0000
Os1 0.0000 0.0000 0.8135
Ru1 0.0000 0.0000 0.1861
Ru2 0.0000 0.0000 0.4954
# size of the total moment: 0.0 μB per cell

=====

5.
# BaOs2Ru | the Alexandria database | PBE | optimized geometry
data_BaOs2Ru
_chemical_formula_sum 'Ba1 Os2 Ru1'
_symmetry_space_group_name_H-M 'P m m m'
_symmetry_Int_Tables_number 47
_cell_length_a 2.8519
_cell_length_b 3.7307
_cell_length_c 7.5932
_cell_angle_alpha 90.00
_cell_angle_beta 90.00
_cell_angle_gamma 90.00
loop_
_symmetry_equiv_pos_as_xyz
'x,y,z'
'-x,-y,-z'
'-x,-y,z'
'x,y,-z'
'x,-y,-z'
'-x,y,z'
'-x,y,-z'
'x,-y,z'
loop_
_atom_site_label
_atom_site_fract_x
_atom_site_fract_y
_atom_site_fract_z
Ba1 0.0000 0.0000 0.0000
Os1 0.5000 0.5000 0.3330
Ru1 0.0000 0.0000 0.5000
# size of the total moment: 0.0 μB per cell

=====

6.
# Ba2OsRu | the Alexandria database | PBE | optimized geometry
data_Ba2OsRu
_chemical_formula_sum 'Ba2 Os1 Ru1'
_symmetry_space_group_name_H-M 'P 4/m m m'
_symmetry_Int_Tables_number 123
_symmetry_space_group_name_Hall '-P 4 2'
_cell_length_a 4.8046
_cell_length_b 4.8046
_cell_length_c 4.5732
_cell_angle_alpha 90.00
_cell_angle_beta 90.00
_cell_angle_gamma 90.00
loop_
_atom_site_label
_atom_site_fract_x
_atom_site_fract_y
_atom_site_fract_z
Ba1 0.0000 0.5000 0.0000
Os1 0.0000 0.0000 0.5000
Ru1 0.5000 0.5000 0.5000
# size of the total moment: 2.3 μB per cell

=====

Number 1: energy above the lowest structure with this stoichiometry 1152 meV/atom. Number 2: energy above the lowest structure with this stoichiometry 0 meV/atom. Number 3: energy above the lowest structure with this stoichiometry 546 meV/atom. Number 4: energy above the lowest structure with this stoichiometry 20 meV/atom. Number 5: energy above the lowest structure with this stoichiometry 400 meV/atom. Number 6: energy above the lowest structure with this stoichiometry 1007 meV/atom.